(1)
The following is a GGA-PBE calculation of Nd7Y3Th after structural relaxation, from Alexandria.

Values from the calculation:
SG = No. 156
Energy of formation = 201 kJ/mol of formula units

Geometry as POSCAR:
```
Nd7Y3Th
1.0
7.2449 0.0000 0.0000
-3.6224 6.2743 0.0000
0.0000 0.0000 8.7604
Nd Y Th
7 3 1
Cartesian
0.0000 0.0000 0.0025 Nd
0.0000 2.0799 2.9517 Nd
-1.8212 5.2343 2.9517 Nd
3.6224 0.0383 0.0000 Nd
1.8444 3.1180 0.0000 Nd
1.8212 5.2343 2.9517 Nd
5.4005 3.1180 0.0000 Nd
1.8381 1.0612 5.7978 Y
5.4068 1.0612 5.7978 Y
3.6224 4.1518 5.7978 Y
3.6224 2.0914 2.9122 Th
```


(2)
The following is a GGA-PBE calculation of Dy2Cu3Ag after structural relaxation, from Alexandria.

Values from the calculation:
SG = No. 69
Energy of formation = -135 kJ/mol of formula units

Geometry as POSCAR:
```
Dy2Cu3Ag
1.0
0.0000 4.3499 7.5930
3.5392 0.0000 7.5930
3.5392 4.3499 0.0000
Dy Cu Ag
4 6 2
Cartesian
5.3291 4.3499 7.5930 Dy
1.7696 2.1750 3.7965 Dy
5.3088 6.5249 11.3895 Dy
1.7493 4.3499 7.5930 Dy
3.5392 4.3499 2.4637 Cu
3.5392 2.1077 6.3667 Cu
3.5392 2.1077 8.8192 Cu
3.5392 6.5922 6.3667 Cu
3.5392 6.5922 8.8192 Cu
3.5392 4.3499 12.7223 Cu
3.5392 4.3499 5.0631 Ag
3.5392 4.3499 10.1229 Ag
```


(3)
The following is a GGA-PBE calculation of MnCdH after structural relaxation, from Alexandria.

Values from the calculation:
SG = No. 156
Distance to the lowest polymorph of the same formula = 0.0 meV/atom

Geometry as POSCAR:
```
MnCdH
1.0
2.9877 0.0000 0.0000
-1.4938 2.5874 0.0000
0.0000 0.0000 4.7385
Mn Cd H
1 1 1
Cartesian
0.0000 0.0000 0.0000 Mn
0.0000 1.7249 2.3668 Cd
1.4938 0.8625 4.7237 H
```


(4)
The following is a GGA-PBE calculation of In4Ga after structural relaxation, from Alexandria.

Values from the calculation:
SG = No. 1
Distance to the lowest polymorph of the same formula = 0.0 meV/atom
Energy of formation = 11 kJ/mol of formula units

Geometry as POSCAR:
```
In4Ga
1.0
5.5997 0.0000 0.0000
2.0637 5.5331 0.0000
2.4056 1.0364 8.2430
In Ga
8 2
Cartesian
0.0000 0.0000 0.0000 In
3.2545 3.7460 6.3659 In
2.7525 0.7203 5.0177 In
4.8288 5.6172 1.7149 In
6.0618 3.7615 8.1124 In
6.0679 3.1355 4.8083 In
7.6310 5.6415 3.4614 In
6.4204 2.8074 1.5842 In
3.5414 2.9650 3.0679 Ga
5.2802 0.8900 6.7590 Ga
```


Quick rundown of magnetic moment, same order as above: 0.00 0.00 2.78 0.00 μB per formula unit
Quick rundown of E_tot, same order as above: -58.099 -51.491 -13.114 -27.735 eV for the cell shown